The following is a DFT calculation (GGA-PBE) of a relaxed structure of MnCoB2.

a = 3.0097 Å, b = 3.9955 Å, c = 5.3668 Å
α = 90.00°, β = 90.00°, γ = 90.00°
Last column: nearest neighbours and their distance in Å.
Space group Pmc2_1 (No. 26)
Inequivalent atoms, fractional coordinates:
Mn: 0.0000 0.1245 0.0000  7 B 2.14-2.16
Co: 0.5000 0.3668 0.3571  7 B 2.11-2.17
B: 0.0000 0.3759 0.6460  2 B 1.81
B: 0.5000 0.1403 0.7117  2 B 1.81

Output
The calculation puts the formation energy at -152 kJ/mol of formula units. The energy relative to the lowest polymorph listed for this composition comes out at 0.0000 eV/atom. Its energy is -62.4 eV for the cell shown. Its calculated volume is 64.5 Å³/cell.

=====

The following is a DFT calculation (GGA-PBE) of a relaxed structure of HfP.

a = 4.9871 Å, b = 5.9218 Å, c = 9.5817 Å
α = 90.00°, β = 90.00°, γ = 90.00°
Last column: nearest neighbours and their distance in Å.
Space group P2_12_12_1 (No. 19)
Inequivalent atoms, fractional coordinates:
Hf: 0.1283 0.1134 0.2953  6 P 2.58-2.81
Hf: 0.1338 0.3830 0.9398  6 P 2.59-2.82
P: 0.1336 0.5412 0.6875  6 Hf 2.58-2.71, 1 P 2.72
P: 0.1490 0.9390 0.0467  6 Hf 2.60-2.82, 1 P 2.72

Output
The calculation puts the formation energy at -195 kJ/mol of formula units. Its energy is -139.1 eV for the cell shown. Its calculated volume is 283.0 Å³/cell.

=====

The following is a DFT calculation (GGA-PBE) of a relaxed structure of Rb4H3Cl.

a = 8.8391 Å, b = 12.4852 Å, c = 4.4033 Å
α = 90.00°, β = 90.00°, γ = 90.00°
Last column: nearest neighbours and their distance in Å.
Space group Cmmm (No. 65)
Inequivalent atoms, fractional coordinates:
Rb: 0.0000 0.2420 0.0000  5 H 3.02-3.12, 1 Cl 3.22
Rb: 0.2325 0.0000 0.5000  4 H 3.01-3.13, 2 Cl 3.23
H: 0.0000 0.0000 0.0000  6 Rb 3.01-3.02
H: 0.2500 0.2500 0.5000  6 Rb 3.12-3.13
Cl: 0.0000 0.5000 0.0000  6 Rb 3.22-3.23

Output
Its energy is -41.2 eV for the cell shown. Its calculated volume is 485.9 Å³/cell.